[1]
# TbCd2In3

A relaxed TbCd2In3 crystal (PBE, Alexandria).

Cell lengths 7.3372, 7.3372, 4.5740 Å; angles 90.00, 90.00, 143.37 degrees
Fractional coordinates of all 6 atoms:
Tb 0.0000 0.0000 0.0000
Cd 0.3282 0.6718 0.0000
Cd 0.6718 0.3282 0.0000
In 0.1698 0.8302 0.5000
In 0.5000 0.5000 0.5000
In 0.8302 0.1698 0.5000

Properties
ΔE_f = -234 meV per atom
M_tot = 0.0 Bohr magnetons per cell
SG = No. 65
V = 146.9 Å³ per cell

=====

[2]
# HfAlZn3

A relaxed HfAlZn3 crystal (PBE, Alexandria).

Cell lengths 4.1655, 6.2459, 6.4626 Å; angles 90.00, 90.00, 90.00 degrees
Fractional coordinates of all 10 atoms:
Hf 0.2500 0.2500 0.2169
Hf 0.7500 0.7500 0.7831
Al 0.2500 0.7500 0.4607
Al 0.7500 0.2500 0.5393
Zn 0.2500 0.0520 0.7529
Zn 0.2500 0.4480 0.7529
Zn 0.2500 0.7500 0.0724
Zn 0.7500 0.2500 0.9276
Zn 0.7500 0.5520 0.2471
Zn 0.7500 0.9480 0.2471

Properties
ΔE_f = -22 meV per atom
M_tot = 0.0 Bohr magnetons per cell
SG = No. 59
V = 168.1 Å³ per cell

=====

[3]
# MgSi2H8

A relaxed MgSi2H8 crystal (PBE, Alexandria).

Cell lengths 7.4199, 7.4199, 6.7782 Å; angles 116.25, 116.25, 77.63 degrees
Fractional coordinates of all 22 atoms:
Mg 0.0220 0.9780 0.7500
Mg 0.9780 0.0220 0.2500
Si 0.1826 0.5187 0.8484
Si 0.4813 0.8174 0.6516
Si 0.5187 0.1826 0.3484
Si 0.8174 0.4813 0.1516
H 0.0241 0.4092 0.1620
H 0.2001 0.4939 0.6272
H 0.2212 0.3195 0.8699
H 0.3195 0.2212 0.3699
H 0.3331 0.6658 0.0626
H 0.3342 0.6669 0.4374
H 0.4092 0.0241 0.6620
H 0.4939 0.2001 0.1272
H 0.5061 0.7999 0.8728
H 0.5908 0.9759 0.3380
H 0.6658 0.3331 0.5626
H 0.6669 0.3342 0.9374
H 0.6805 0.7788 0.6301
H 0.7788 0.6805 0.1301
H 0.7999 0.5061 0.3728
H 0.9759 0.5908 0.8380

Properties
M_tot = 0.0 Bohr magnetons per cell
E = -3.4624 eV/atom
SG = No. 15
V = 300.1 Å³ per cell

=====

[4]
# RbHo4Se6

A relaxed RbHo4Se6 crystal (PBE, Alexandria).

Cell lengths 7.1499, 7.1499, 21.8314 Å; angles 90.00, 90.00, 146.45 degrees
Fractional coordinates of all 22 atoms:
Rb 0.1559 0.8441 0.7500
Rb 0.8441 0.1559 0.2500
Ho 0.0973 0.9027 0.1317
Ho 0.0973 0.9027 0.3683
Ho 0.3678 0.6322 0.0400
Ho 0.3678 0.6322 0.4600
Ho 0.6322 0.3678 0.5400
Ho 0.6322 0.3678 0.9600
Ho 0.9027 0.0973 0.6317
Ho 0.9027 0.0973 0.8683
Se 0.0000 0.0000 0.0000
Se 0.0000 0.0000 0.5000
Se 0.1522 0.8478 0.2500
Se 0.2707 0.7293 0.5800
Se 0.2707 0.7293 0.9200
Se 0.4630 0.5370 0.1509
Se 0.4630 0.5370 0.3491
Se 0.5370 0.4630 0.6509
Se 0.5370 0.4630 0.8491
Se 0.7293 0.2707 0.0800
Se 0.7293 0.2707 0.4200
Se 0.8478 0.1522 0.7500

Properties
M_tot = 0.0 Bohr magnetons per cell
SG = No. 63
ΔE_f (raw) = -1760 meV per atom
V = 616.7 Å³ per cell

=====

[5]
# NaSb2IO

A relaxed NaSb2IO crystal (PBE, Alexandria).

Cell lengths 5.4560, 5.4560, 5.4063 Å; angles 90.00, 90.00, 90.00 degrees
Fractional coordinates of all 5 atoms:
Na 0.0000 0.0000 0.0000
Sb 0.0000 0.5000 0.0000
Sb 0.5000 0.0000 0.0000
I 0.0000 0.0000 0.5000
O 0.5000 0.5000 0.5000

Properties
M_tot = 0.0 Bohr magnetons per cell
SG = No. 123
ΔE_f (raw) = 1118 meV per atom
V = 160.9 Å³ per cell

=====

[6]
# CaInCl

A relaxed CaInCl crystal (PBE, Alexandria).

Cell lengths 5.2468, 5.2468, 5.2468 Å; angles 60.00, 60.00, 60.00 degrees
Fractional coordinates of all 3 atoms:
Ca 0.0000 0.0000 0.0000
In 0.7500 0.7500 0.7500
Cl 0.2500 0.2500 0.2500

Properties
M_tot = 0.3 Bohr magnetons per cell
SG = No. 216
ΔE_f (raw) = -443 meV per atom
V = 102.1 Å³ per cell

=====

[7]
# HfV2Tc3

A relaxed HfV2Tc3 crystal (PBE, Alexandria).

Cell lengths 3.0992, 3.0992, 9.3929 Å; angles 90.00, 90.00, 90.00 degrees
Fractional coordinates of all 6 atoms:
Hf 0.0000 0.0000 0.0000
V 0.0000 0.0000 0.3394
V 0.0000 0.0000 0.6606
Tc 0.5000 0.5000 0.1849
Tc 0.5000 0.5000 0.5000
Tc 0.5000 0.5000 0.8151

Properties
ΔE_f = -377 meV per atom
M_tot = 0.0 Bohr magnetons per cell
SG = No. 123
V = 90.2 Å³ per cell

=====

[8]
# Dy3Er2Tm5

A relaxed Dy3Er2Tm5 crystal (PBE, Alexandria).

Cell lengths 10.9447, 10.9447, 10.9447 Å; angles 109.56, 79.86, 147.28 degrees
Fractional coordinates of all 20 atoms:
Dy 0.2491 0.1592 0.4083
Dy 0.2500 0.2500 0.0000
Dy 0.2509 0.6592 0.9101
Dy 0.7491 0.3408 0.0899
Dy 0.7500 0.7500 0.0000
Dy 0.7509 0.8408 0.5917
Er 0.1563 0.8997 0.0560
Er 0.3437 0.3997 0.7434
Er 0.6563 0.6003 0.2566
Er 0.8437 0.1003 0.9440
Tm 0.1560 0.4017 0.5577
Tm 0.2500 0.5012 0.2512
Tm 0.2500 0.7500 0.5000
Tm 0.2500 0.9988 0.7488
Tm 0.3440 0.9017 0.2457
Tm 0.6560 0.0983 0.7543
Tm 0.7500 0.0012 0.2512
Tm 0.7500 0.2500 0.5000
Tm 0.7500 0.4988 0.7488
Tm 0.8440 0.5983 0.4423

Properties
ΔE_f = 358 meV per atom
M_tot = 0.0 Bohr magnetons per cell
SG = No. 72
V = 653.3 Å³ per cell